No. 1
## Ag3Pb2 (GGA-PBEsol)

Data for a geometry-optimized Ag3Pb2 structure.

Cell and atoms, written as extended XYZ:
```
5
Lattice="3.2936 0.0000 0.0000 1.6468 2.8523 0.0000 1.6468 0.9508 11.4962" Properties=species:S:1:pos:R:3 pbc="T T T"
Ag 1.6468 0.9508 4.7369
Ag 4.9404 2.8523 6.7593
Ag 0.0000 0.0000 0.0000
Pb 3.2936 1.9015 9.1203
Pb 3.2936 1.9015 2.3759
```

- V (Å³/atom) = 21.600
- mass density (g/cm3) = 11.35
- ΔE_f (eV per atom) = 0.16
- total magnetic moment (μB/atom) = 0.00

No. 2
## Na2SrP2 (GGA-PBEsol)

Data for a geometry-optimized Na2SrP2 structure.

Cell and atoms, written as extended XYZ:
```
5
Lattice="-3.1371 1.9977 -2.2643 1.8093 -1.3705 -3.7159 -2.6780 -5.3151 3.2074" Properties=species:S:1:pos:R:3 pbc="T T T"
Na -0.7663 -3.1859 -1.7492
Na -3.2395 -1.5019 -1.0235
Sr 0.0000 0.0000 0.0000
P -2.7128 -4.0599 0.1764
P -1.2930 -0.6279 -2.9492
```

- V (Å³/atom) = 22.824
- mass density (g/cm3) = 2.85
- ΔE_f (eV per atom) = -0.55
- total magnetic moment (μB/atom) = 0.00

No. 3
## Ho2OsRh (GGA-PBEsol)

Data for a geometry-optimized Ho2OsRh structure.

Cell and atoms, written as extended XYZ:
```
4
Lattice="-1.2084 -0.0705 -4.5705 -1.6635 -3.9758 -1.9444 -4.5535 -0.3012 -1.2370" Properties=species:S:1:pos:R:3 pbc="T T T"
Ho -5.5690 -3.2606 -5.8140
Ho -1.8563 -1.0869 -1.9380
Os 0.0000 0.0000 0.0000
Rh -3.7127 -2.1738 -3.8760
```

- V (Å³/atom) = 18.685
- mass density (g/cm3) = 13.84
- ΔE_f (eV per atom) = -0.48
- total magnetic moment (μB/atom) = 0.00

No. 4
## InTc2Cl (GGA-PBEsol)

Data for a geometry-optimized InTc2Cl structure.

Cell and atoms, written as extended XYZ:
```
4
Lattice="-1.9895 -0.4416 -2.0761 -1.4062 -2.5423 -0.1500 -7.1131 2.0131 4.3500" Properties=species:S:1:pos:R:3 pbc="T T T"
Tc -2.7516 -0.1802 0.6369
Tc -7.7572 -0.7907 1.4870
Cl -5.2544 -0.4854 1.0620
In 0.0000 0.0000 0.0000
```

- ΔE_f (raw) (eV/atom) = 0.47
- V (Å³/atom) = 15.413
- mass density (g/cm3) = 9.33
- total magnetic moment (μB/atom) = 0.00

No. 5
## Y5Hg4 (GGA-PBEsol)

Data for a geometry-optimized Y5Hg4 structure.

Cell and atoms, written as extended XYZ:
```
18
Lattice="-3.4953 5.2667 1.8287 -5.3654 -5.2734 4.9326 7.3710 3.6145 3.6786" Properties=species:S:1:pos:R:3 pbc="T T T"
Y -6.4491 0.1880 4.8904
Y -1.1200 -2.3108 4.5146
Y 2.6369 6.5286 3.9958
Y -2.8676 0.3226 5.4290
Y 1.2388 2.3526 1.5115
Y 0.5569 0.1332 6.6004
Y 1.3778 3.2852 5.0110
Y -2.4116 -0.1947 1.8709
Y 3.1255 0.6519 4.0966
Y -2.0467 3.4746 3.8396
Hg -0.1089 0.6839 3.7417
Hg -4.1927 -1.9453 3.5083
Hg -1.7476 2.6334 0.9143
Hg -4.6680 1.9386 3.2529
Hg 0.1900 5.3287 2.7746
Hg 0.0000 0.0000 0.0000
Hg -1.3809 2.9239 6.6982
Hg 3.6856 3.5525 2.7327
```

- V (Å³/atom) = 25.621
- mass density (g/cm3) = 8.98
- ΔE_f (eV per atom) = -0.51
- total magnetic moment (μB/atom) = 0.00

No. 6
## CaY2Rh2 (GGA-PBEsol)

Data for a geometry-optimized CaY2Rh2 structure.

Cell and atoms, written as extended XYZ:
```
10
Lattice="-0.2488 3.0727 1.7918 0.9601 -3.8658 6.7625 7.7702 0.9543 -0.5576" Properties=species:S:1:pos:R:3 pbc="T T T"
Y 5.0784 1.5740 1.5537
Y 7.0979 -0.1698 4.8244
Y 1.3835 0.3309 3.1723
Y 3.4030 -1.4129 6.4430
Rh 7.0080 -0.5643 1.9408
Rh 1.7222 -2.3472 4.2641
Rh 2.9161 -0.2087 0.7627
Rh 5.8141 -2.7029 5.4422
Ca 0.0000 0.0000 0.0000
Ca 4.3651 -1.4558 3.1024
```

- offset from the most stable computed form (meV per atom) = 0
- V (Å³/atom) = 21.963
- mass density (g/cm3) = 6.41
- ΔE_f (eV per atom) = -0.58
- total magnetic moment (μB/atom) = 0.00

No. 7
## KCd2FeSb (GGA-PBEsol)

Data for a geometry-optimized KCd2FeSb structure.

Cell and atoms, written as extended XYZ:
```
5
Lattice="-2.7193 -1.0234 -3.7136 4.1682 -0.8067 -2.8299 -0.0211 -4.9148 1.3699" Properties=species:S:1:pos:R:3 pbc="T T T"
K 0.7138 -3.3724 -2.5868
Cd 2.0841 -0.4033 -1.4149
Cd -0.0106 -2.4574 0.6849
Fe 0.0000 0.0000 0.0000
Sb -1.3597 -0.5117 -1.8568
```

- ΔE_f (raw) (eV/atom) = 0.06
- V (Å³/atom) = 24.549
- mass density (g/cm3) = 5.97
- total magnetic moment (μB/atom) = 0.05

No. 8
## TlCdPt2 (GGA-PBEsol)

Data for a geometry-optimized TlCdPt2 structure.

Cell and atoms, written as extended XYZ:
```
4
Lattice="-0.6964 1.1152 -2.6661 -2.7280 -2.8500 -0.4795 -4.0762 3.4747 2.5373" Properties=species:S:1:pos:R:3 pbc="T T T"
Pt -3.0314 2.5846 1.8838
Pt -1.7412 2.0053 -2.0127
Tl -1.7122 -0.8674 -1.5728
Cd -3.7503 0.8699 -0.3042
```

- V (Å³/atom) = 17.505
- mass density (g/cm3) = 16.77
- ΔE_f (eV per atom) = -0.09
- total magnetic moment (μB/atom) = 0.00

No. 9
## GaHg2BSe (GGA-PBEsol)

Data for a geometry-optimized GaHg2BSe structure.

Cell and atoms, written as extended XYZ:
```
5
Lattice="-1.4853 -0.8553 -4.0394 -2.9519 -2.7816 1.6744 -3.5416 4.0288 0.4492" Properties=species:S:1:pos:R:3 pbc="T T T"
Hg -0.7426 -0.4276 -2.0197
Hg -1.4759 -1.3908 0.8372
Se -1.7708 2.0144 0.2246
B 0.0000 0.0000 0.0000
Ga -3.9894 0.1959 -0.9579
```

- ΔE_f (raw) (eV/atom) = 0.42
- V (Å³/atom) = 20.729
- mass density (g/cm3) = 8.98
- total magnetic moment (μB/atom) = 0.00

No. 10
## CoB4O7 (GGA-PBEsol)

Data for a geometry-optimized CoB4O7 structure.

Cell and atoms, written as extended XYZ:
```
24
Lattice="5.1698 0.0000 0.0000 0.0000 6.3063 0.0174 0.0000 3.0090 5.5422" Properties=species:S:1:pos:R:3 pbc="T T T"
O 1.2924 6.0685 0.4158
O 2.6967 5.2333 4.5088
O 5.0580 5.2333 4.5088
O 1.2924 1.9837 1.3589
O 3.8773 2.1378 1.1008
O 1.2924 7.1776 4.4587
O 5.0580 2.8627 3.0940
O 2.6967 2.8627 3.0940
O 2.4731 6.4527 2.4656
O 2.4731 4.0821 1.0508
O 0.1118 4.0821 1.0508
O 3.8773 7.3316 4.2006
O 0.1118 6.4527 2.4656
O 3.8773 3.2468 5.1437
B 2.5849 2.7741 1.6556
B 2.5849 6.5413 3.9040
B 3.8773 2.5388 3.8516
B 1.2924 4.5952 0.4061
B 0.0000 6.5413 3.9040
B 3.8773 4.7202 5.1535
B 0.0000 2.7741 1.6556
B 1.2924 6.7766 1.7080
Co 3.8773 5.5055 1.3593
Co 1.2924 3.8099 4.2003
```

- ΔE_f (raw) (eV/atom) = -2.12
- V (Å³/atom) = 7.517
- mass density (g/cm3) = 3.94
- total magnetic moment (μB/atom) = 0.25

No. 11
## BePdO2 (GGA-PBEsol)

Data for a geometry-optimized BePdO2 structure.

Cell and atoms, written as extended XYZ:
```
8
Lattice="-1.0854 -1.0064 -4.2430 1.8046 -3.6363 2.7806 -2.9086 -3.0906 1.4771" Properties=species:S:1:pos:R:3 pbc="T T T"
O -2.0551 -3.4436 -2.2270
O -0.3181 -4.4248 0.3689
O -1.4248 -5.6478 2.4662
O -0.5809 -1.9506 -0.5786
Be -0.0962 -2.8424 0.6988
Be -1.9970 -2.0485 -1.3829
Pd -2.0932 -4.8909 -0.6841
Pd 0.0000 0.0000 0.0000
```

- ΔE_f (raw) (eV/atom) = -1.24
- V (Å³/atom) = 9.483
- mass density (g/cm3) = 6.45
- total magnetic moment (μB/atom) = 0.00

No. 12
## TiNbB4 (GGA-PBEsol)

Data for a geometry-optimized TiNbB4 structure.

Cell and atoms, written as extended XYZ:
```
6
Lattice="-2.1345 2.1828 -0.2557 -0.3990 -2.3089 1.9739 2.9654 3.4416 4.6252" Properties=species:S:1:pos:R:3 pbc="T T T"
Nb 0.0000 0.0000 0.0000
B 0.6407 3.2350 3.9136
B -0.7872 1.5778 1.6865
B -0.2087 0.0806 2.4297
B 1.2192 1.7378 4.6568
Ti 1.4827 1.7208 2.3126
```

- V (Å³/atom) = 8.783
- mass density (g/cm3) = 5.80
- ΔE_f (eV per atom) = -0.97
- total magnetic moment (μB/atom) = 0.00

No. 13
## Mn2RhI (GGA-PBEsol)

Data for a geometry-optimized Mn2RhI structure.

Cell and atoms, written as extended XYZ:
```
4
Lattice="-2.6494 -3.4724 0.8120 1.3355 -3.2157 2.7591 -1.9171 -0.4479 3.9826" Properties=species:S:1:pos:R:3 pbc="T T T"
Rh 0.0000 0.0000 0.0000
Mn -2.4233 -5.3519 5.6652
Mn -0.8078 -1.7840 1.8884
I -1.6155 -3.5680 3.7768
```

- ΔE_f (raw) (eV/atom) = 0.71
- V (Å³/atom) = 15.500
- mass density (g/cm3) = 9.10
- total magnetic moment (μB/atom) = 1.71

No. 14
## SrScO2F (GGA-PBEsol)

Data for a geometry-optimized SrScO2F structure.

Cell and atoms, written as extended XYZ:
```
5
Lattice="4.2879 0.0000 0.0000 0.0000 4.5347 0.0000 0.0000 0.0000 4.5347" Properties=species:S:1:pos:R:3 pbc="T T T"
Sr 0.0000 0.0000 0.0000
O 0.0000 0.0000 2.2673
O 0.0000 2.2673 0.0000
F 2.1439 0.0000 0.0000
Sc 2.1439 2.2673 2.2673
```

- ΔE_f (raw) (eV/atom) = -1.57
- V (Å³/atom) = 17.635
- mass density (g/cm3) = 3.46
- total magnetic moment (μB/atom) = 0.00

No. 15
## Nb3BiIr (GGA-PBEsol)

Data for a geometry-optimized Nb3BiIr structure.

Cell and atoms, written as extended XYZ:
```
5
Lattice="4.8667 0.0000 0.0000 0.0000 4.8667 0.0000 0.0000 0.0000 4.8667" Properties=species:S:1:pos:R:3 pbc="T T T"
Ir 0.0000 0.0000 0.0000
Nb 2.4333 0.0000 0.0000
Nb 0.0000 0.0000 2.4333
Nb 0.0000 2.4333 0.0000
Bi 2.4333 2.4333 2.4333
```

- V (Å³/atom) = 23.053
- mass density (g/cm3) = 9.80
- ΔE_f (eV per atom) = 0.80
- total magnetic moment (μB/atom) = 0.00

No. 16
## TaInTe2 (GGA-PBEsol)

Data for a geometry-optimized TaInTe2 structure.

Cell and atoms, written as extended XYZ:
```
4
Lattice="-0.7295 -3.0604 0.6508 1.7552 0.2986 -2.6743 8.7106 -0.8816 5.6184" Properties=species:S:1:pos:R:3 pbc="T T T"
Te 1.8069 -0.1829 1.1654
Te 6.9038 -0.6987 4.4530
Ta 0.5129 -1.3809 -1.0118
In 4.8682 -1.8217 1.7974
```

- ΔE_f (raw) (eV/atom) = 0.15
- V (Å³/atom) = 24.818
- mass density (g/cm3) = 9.22
- total magnetic moment (μB/atom) = 0.00

No. 17
## Gd2Sc3Si4 (GGA-PBEsol)

Data for a geometry-optimized Gd2Sc3Si4 structure.

Cell and atoms, written as extended XYZ:
```
36
Lattice="-4.6307 -4.9728 1.8622 1.5236 -3.7189 -6.1420 10.0554 -6.8715 6.6550" Properties=species:S:1:pos:R:3 pbc="T T T"
Gd 2.8248 -7.7188 -0.5482
Gd 4.1235 -7.8444 2.9234
Gd 9.3057 -6.9165 4.9596
Gd 0.7375 -10.7616 -0.5362
Gd 7.2183 -9.9593 4.9716
Gd -2.3574 -8.6467 -2.5844
Gd -0.2700 -5.6038 -2.5965
Gd 6.2108 -4.8016 2.9113
Sc 4.4358 -10.6991 0.3507
Sc -2.0838 -6.1879 0.3879
Sc 0.4226 -7.9007 2.0467
Sc 0.9699 -8.7096 -3.2226
Sc 5.9784 -6.8536 5.5978
Sc 2.5356 -4.3934 -1.1317
Sc 6.9422 -12.4119 2.0095
Sc 6.5257 -7.6624 0.3285
Sc 2.5125 -4.8641 2.0244
Sc 0.0061 -3.1513 0.3656
Sc 4.4127 -11.1697 3.5068
Sc 9.0321 -9.3752 1.9873
Si 7.1164 -7.6119 3.0954
Si 5.2951 -9.0073 -1.6950
Si 1.6532 -6.5559 4.0702
Si 2.3254 -9.8966 1.8738
Si 2.5245 -6.3857 -3.1720
Si 6.3133 -9.7707 2.0797
Si 0.6350 -5.7924 0.2954
Si 4.6229 -5.6666 0.5013
Si -0.1681 -7.9513 -0.7203
Si 4.4066 -13.2546 1.3634
Si -2.5863 -3.6587 1.2643
Si 2.5417 -2.3086 1.0118
Si 0.3834 -2.7694 -2.3045
Si 9.5346 -11.9045 1.1108
Si 4.4238 -9.1775 5.5471
Si 6.5649 -12.7938 4.6797
```

- ΔE_f (raw) (eV/atom) = -0.89
- V (Å³/atom) = 19.937
- mass density (g/cm3) = 5.20
- total magnetic moment (μB/atom) = 1.66

No. 18
## Li2CuRh (GGA-PBEsol)

Data for a geometry-optimized Li2CuRh structure.

Cell and atoms, written as extended XYZ:
```
4
Lattice="2.8580 0.0000 0.0000 0.0000 4.1815 0.0000 -1.4290 -2.0907 4.1190" Properties=species:S:1:pos:R:3 pbc="T T T"
Cu 0.0000 2.0907 0.0000
Rh 1.4290 0.0000 0.0000
Li 0.0000 0.0000 2.1147
Li 1.4290 2.0907 2.0044
```

- offset from the most stable computed form (meV per atom) = 0
- V (Å³/atom) = 12.306
- mass density (g/cm3) = 6.08
- ΔE_f (eV per atom) = -0.07
- total magnetic moment (μB/atom) = 0.00

No. 19
## Rb3ZrIn (GGA-PBEsol)

Data for a geometry-optimized Rb3ZrIn structure.

Cell and atoms, written as extended XYZ:
```
5
Lattice="6.7218 0.0000 0.0000 0.0000 6.7218 0.0000 0.0000 0.0000 6.7218" Properties=species:S:1:pos:R:3 pbc="T T T"
Rb 3.3609 0.0000 0.0000
Rb 0.0000 0.0000 3.3609
Rb 0.0000 3.3609 0.0000
In 0.0000 0.0000 0.0000
Zr 3.3609 3.3609 3.3609
```

- V (Å³/atom) = 60.741
- mass density (g/cm3) = 2.53
- ΔE_f (eV per atom) = 1.19
- total magnetic moment (μB/atom) = 0.61

No. 20
## Ba2SrIrO6 (GGA-PBEsol)

Data for a geometry-optimized Ba2SrIrO6 structure.

Cell and atoms, written as extended XYZ:
```
10
Lattice="6.0429 0.0000 0.0000 3.0214 5.2333 0.0000 3.0214 1.7444 4.9340" Properties=species:S:1:pos:R:3 pbc="T T T"
O 6.0429 5.0621 3.5794
O 7.4053 2.7022 3.5794
O 4.6804 4.2755 1.3545
O 4.6804 2.7022 3.5794
O 7.4053 4.2755 1.3545
O 6.0429 1.9156 1.3545
Sr 0.0000 0.0000 0.0000
Ba 9.0643 5.2333 3.7005
Ba 3.0214 1.7444 1.2335
Ir 6.0429 3.4889 2.4670
```

- ΔE_f (raw) (eV/atom) = -2.06
- V (Å³/atom) = 15.603
- mass density (g/cm3) = 6.92
- total magnetic moment (μB/atom) = 0.27